## CsNa2MnBr6 (GGA-PBE)

Data for an optimized crystal structure of CsNa2MnBr6.

## Properties
energy relative to the elements, uncorrected: -1186 meV/atom
E_tot: -3.456 eV/atom
total magnetic moment: 7.811 μB per cell

abc: 9.6507 9.6507 9.5424
angles: 109.87 109.87 88.18
Last column: nearest neighbours and their distance in Å.
Positions (direct):
1 Cs 0.1579 0.8421 0.7500  8 Br 3.64-3.99
2 Cs 0.8421 0.1579 0.2500  8 Br 3.64-3.99
3 Na 0.3310 0.4464 0.8285  3 Br 2.84-2.94
4 Na 0.4464 0.3310 0.3285  3 Br 2.84-2.94
5 Na 0.5536 0.6690 0.6715  3 Br 2.84-2.94
6 Na 0.6690 0.5536 0.1715  3 Br 2.84-2.94
7 Mn 0.1740 0.8260 0.2500  4 Br 2.36-2.38
8 Mn 0.8260 0.1740 0.7500  4 Br 2.36-2.38
9 Br 0.0339 0.2207 0.6858  1 Mn 2.38
10 Br 0.1137 0.6412 0.9956  1 Mn 2.36
11 Br 0.2207 0.0339 0.1858  1 Mn 2.38
12 Br 0.2798 0.4686 0.5245  3 Na 2.84-2.94
13 Br 0.3588 0.8863 0.5044  1 Mn 2.36
14 Br 0.4686 0.2798 0.0245  3 Na 2.84-2.94
15 Br 0.5314 0.7202 0.9755  3 Na 2.84-2.94
16 Br 0.6412 0.1137 0.4956  1 Mn 2.36
17 Br 0.7202 0.5314 0.4755  3 Na 2.84-2.94
18 Br 0.7793 0.9661 0.8142  1 Mn 2.38
19 Br 0.8863 0.3588 0.0044  1 Mn 2.36
20 Br 0.9661 0.7793 0.3142  1 Mn 2.38